VASP calculation (GGA-PBE) on PaCuBr6 after structural relaxation.

space-group type	C2/m
E_form (uncorrected)	-1.11	eV per atom
E_tot	-4.064	eV per atom
M_tot	0.00	μB/f.u.

a b c (Å): 7.396 7.396 7.111
angles (deg): 102.40 102.40 122.74
Fractional positions:
Pa (0.000, 0.000, 0.000)
Cu (0.500, 0.500, 0.500)
Br (0.119, 0.414, 0.265)
Br (0.222, 0.222, 0.777)
Br (0.414, 0.119, 0.265)
Br (0.586, 0.881, 0.735)
Br (0.778, 0.778, 0.223)
Br (0.881, 0.586, 0.735)